No. 1
# PuAl8Zn4

A relaxed PuAl8Zn4 crystal (GGA-PBE, the Alexandria database).

```
PuAl8Zn4
1.0
-2.087 -4.499 -1.591
3.018 -5.506 3.082
-5.388 -1.936 4.018
Al Zn Pu
8 4 1
direct
0.354 0.646 0.646 Al
0.286 0.214 0.214 Al
0.000 0.646 0.354 Al
0.646 0.354 0.354 Al
0.500 0.786 0.214 Al
0.500 0.214 0.786 Al
0.714 0.786 0.786 Al
0.000 0.354 0.646 Al
0.000 0.500 0.000 Zn
0.500 0.500 0.000 Zn
0.000 0.000 0.500 Zn
0.500 0.000 0.500 Zn
0.000 0.000 0.000 Pu
```

The total magnetic moment is 0.423 μB per atom. The density comes out at 5.46 Mg/m³. For the formation enthalpy at 0 K, the calculation gives -1.03 eV per formula unit.


No. 2
# AcGa3Cu

A relaxed AcGa3Cu crystal (GGA-PBE, the Alexandria database).

```
AcGa3Cu
1.0
0.372 4.026 -1.838
-1.844 1.819 3.607
4.027 3.467 3.043
Ga Cu Ac
3 1 1
direct
0.644 0.947 0.418 Ga
0.143 0.447 0.418 Ga
0.794 0.597 0.118 Ga
0.030 0.833 0.645 Cu
0.397 0.201 0.912 Ac
```

The total magnetic moment is 0.000 μB per atom. The density comes out at 8.00 Mg/m³. For the formation enthalpy at 0 K, the calculation gives -2.55 eV per formula unit.


| no. | N(E_F) (states/eV/f.u.) |
| --- | --- |
| 1 | 8.5 |
| 2 | 2.3 |